# 1
## ZrZn2Cd (GGA-PBE)

Data for an optimized crystal structure of ZrZn2Cd.

Results
DFT formation energy (eV/atom): 0.1576
Symmetry: I-42d
DOS(E_F) (states/eV/atom): 0.42

Unit cell a=6.017 b=6.017 c=6.017 alpha=104.10 beta=104.10 gamma=120.85
Fractional coordinates of all 8 atoms:
Zr 0.000 0.000 0.000
Zr 0.750 0.250 0.500
Zn 0.137 0.625 0.012
Zn 0.375 0.387 0.512
Zn 0.613 0.125 0.988
Zn 0.875 0.863 0.488
Cd 0.250 0.750 0.500
Cd 0.500 0.500 0.000

---

# 2
## CoPbSe2 (GGA-PBE)

Data for an optimized crystal structure of CoPbSe2.

Results
E_form (uncorrected) (eV/atom): 0.087
Symmetry: Cmmm
DOS(E_F) (states/eV/atom): 0.99

Unit cell a=3.511 b=3.511 c=8.464 alpha=90.00 beta=90.00 gamma=118.89
Fractional coordinates of all 4 atoms:
Co 0.000 0.000 0.000
Pb 0.000 0.000 0.500
Se 0.500 0.500 0.180
Se 0.500 0.500 0.820

---

# 3
## BeZnOs2 (GGA-PBE)

Data for an optimized crystal structure of BeZnOs2.

Results
DFT formation energy (eV/atom): 0.1756
Symmetry: Cm
DOS(E_F) (states/eV/atom): 0.66

Unit cell a=4.863 b=4.863 c=4.133 alpha=115.00 beta=115.00 gamma=35.08
Fractional coordinates of all 4 atoms:
Be 0.000 0.000 0.000
Zn 0.271 0.271 0.768
Os 0.498 0.498 0.497
Os 0.731 0.731 0.228